VASP calculation (GGA+U) on crystalline Mn3Fe2P6WO24 at its relaxed geometry.

a b c (Å): 8.571 8.571 8.571
angles (deg): 60.85 60.85 60.85
Fractional coordinates of all 36 atoms:
Mn 0.000 0.000 0.000
Mn 0.214 0.214 0.214
Mn 0.715 0.715 0.715
Fe 0.354 0.354 0.354
Fe 0.858 0.858 0.858
P 0.102 0.404 0.817
P 0.318 0.900 0.619
P 0.404 0.817 0.102
P 0.619 0.318 0.900
P 0.817 0.102 0.404
P 0.900 0.619 0.318
W 0.501 0.501 0.501
O 0.055 0.238 0.851
O 0.088 0.460 0.322
O 0.119 0.913 0.774
O 0.158 0.393 0.963
O 0.238 0.851 0.055
O 0.268 0.423 0.616
O 0.322 0.088 0.460
O 0.354 0.745 0.545
O 0.393 0.963 0.158
O 0.423 0.616 0.268
O 0.460 0.322 0.088
O 0.468 0.828 0.708
O 0.545 0.354 0.745
O 0.606 0.779 0.944
O 0.616 0.268 0.423
O 0.708 0.468 0.828
O 0.745 0.545 0.354
O 0.774 0.119 0.913
O 0.779 0.944 0.606
O 0.828 0.708 0.468
O 0.851 0.055 0.238
O 0.913 0.774 0.119
O 0.944 0.606 0.779
O 0.963 0.158 0.393

Properties
total energy	-7.279	eV per atom
crystal system	trigonal
symmetry	No. 146
volume	12.60	Å³ per atom